6
Lattice="0.000 3.993 3.993 3.993 0.000 3.993 3.993 3.993 0.000" Properties=species:S:1:pos:R:3 comment="GePbAu4, relaxed, DFT GGA-PBE" space_group="F-43m, No. 216" relative_energy_mev_per_atom=82.0 magnetic_moment_mub_per_fu=0.00 pbc="T T T"
Ge 0.000 0.000 0.000
Pb 1.997 1.997 1.997
Au 4.994 2.992 2.992
Au 2.992 4.994 2.992
Au 2.992 2.992 4.994
Au 4.994 4.994 4.994

---

6
Lattice="4.776 -1.902 0.000 4.776 1.902 0.000 -2.486 0.000 6.727" Properties=species:S:1:pos:R:3 comment="HoInAu4, relaxed, DFT GGA-PBE" space_group="C2/m, No. 12" relative_energy_mev_per_atom=3.1 magnetic_moment_mub_per_fu=0.00 pbc="T T T"
Ho 0.000 0.000 0.000
In -1.243 0.000 3.363
Au 2.769 0.000 1.128
Au 1.543 0.000 4.491
Au 5.524 0.000 2.236
Au 4.298 0.000 5.599

---

12
Lattice="4.016 -6.954 0.000 4.016 6.954 0.000 -2.683 0.000 8.290" Properties=species:S:1:pos:R:3 comment="K3SrTh2Te6, relaxed, DFT GGA-PBE" space_group="C2/m, No. 12" formation_energy_uncorrected_kj_per_mol_fu=-1504 magnetic_moment_mub_per_fu=0.00 pbc="T T T"
K 0.000 0.000 0.000
K 4.016 2.255 0.000
K 4.016 -2.255 0.000
Sr 2.675 0.000 4.145
Th 2.675 4.630 4.145
Th 2.675 -4.630 4.145
Te 1.272 2.426 2.336
Te -0.126 0.000 5.945
Te 1.272 -2.426 2.336
Te 4.078 2.426 5.954
Te 5.476 0.000 2.345
Te 4.078 -2.426 5.954